# Ba3NdZn2O6, optimized geometry, DFT GGA-PBE
# * uncorrected formation energy: -2.1457 eV/atom
# * D(E_F): 2.338 states/eV/cell
data_Ba3NdZn2O6
_space_group_name_H-M_alt 'P -3 m 1'
_space_group_IT_number 164
_space_group_name_Hall '-P 3 2"'
_cell_length_a 6.2729
_cell_length_b 6.2729
_cell_length_c 7.1049
_cell_angle_alpha 90.00
_cell_angle_beta 90.00
_cell_angle_gamma 120.00
loop_
_atom_site_label
_atom_site_type_symbol
_atom_site_fract_x
_atom_site_fract_y
_atom_site_fract_z
Ba1 Ba 0.0000 0.0000 0.0000
Ba2 Ba 0.3333 0.6667 0.6409
Nd1 Nd 0.0000 0.0000 0.5000
Zn1 Zn 0.3333 0.6667 0.1936
O1 O 0.1696 0.3391 0.2997